Below is an optimized crystal structure of PmSmI2, with properties calculated at the PBE level.

Lattice parameters (Å, degrees): 10.1472 10.1472 10.1472 21.78 21.78 21.78
Element x y z (fractional)
Pm  0.0000  0.0000  0.0000
Sm  0.5000  0.5000  0.5000
I  0.2498  0.2498  0.2498
I  0.7502  0.7502  0.7502

Energy relative to the elements, uncorrected: -0.776 eV/atom
Uncorrected energy: -15.67 eV/cell
Polymorph energy (0 for the lowest one): 0.050 eV per atom